Compound: Tc2Mo
Source: the Alexandria database
Functional: GGA-PBE
Structure: relaxed

abc: 3.912 3.912 23.628
angles: 90.00 90.00 90.00
Space group I4_1/amd (No. 141, origin choice 2)
Symmetry-distinct sites (fractional):
Tc 0.000 0.250 0.124 [8 per cell]
Tc 0.000 0.250 0.292 [8 per cell]
Mo 0.000 0.250 0.794 [8 per cell]

## Properties
V (Å³/f.u.): 45.2
DOS at the Fermi energy (states/eV per cell): 22.555
Distance to the lowest polymorph of the same formula (meV/atom): 9
M_tot (Bohr magnetons per cell): 0.00